# PmNdDy2P4 GGA-PBE optimized geometry
data_PmNdDy2P4
_symmetry_space_group_name_H-M 'P 1'
_symmetry_Int_Tables_number 1
_cell_length_a 7.0622
_cell_length_b 4.0808
_cell_length_c 7.0646
_cell_angle_alpha 90.00
_cell_angle_beta 109.47
_cell_angle_gamma 90.00
loop_
_symmetry_equiv_pos_as_xyz
'x,y,z'
loop_
_atom_site_label
_atom_site_fract_x
_atom_site_fract_y
_atom_site_fract_z
_atom_site_occupancy
Pm1 0.0000 0.0000 0.0000 1
Nd1 0.0000 0.5000 0.5000 1
Dy1 0.5000 0.0000 0.5000 1
Dy2 0.5000 0.5000 0.0000 1
P1 0.2582 0.5000 0.2518 1
P2 0.2590 0.0000 0.7539 1
P3 0.7410 0.0000 0.2461 1
P4 0.7418 0.5000 0.7482 1
# **Calculated formation energy**: -12.619 eV per formula unit
# **Total moment**: 0.000 μB/f.u.
# **Calculated total energy**: -0.487 Ry/atom